Here is a geometry-optimized Eu2PuH structure from Alexandria via LeMat-Bulk. Energies are from GGA-PBE.

Geometry as POSCAR:
```
Eu2PuH
1.0
6.174 0.000 0.000
-3.087 5.347 0.000
0.000 0.000 11.136
Eu Pu H
6 3 3
Direct
0.000 0.000 0.189 Eu
0.000 0.000 0.811 Eu
0.333 0.667 0.477 Eu
0.333 0.667 0.856 Eu
0.667 0.333 0.144 Eu
0.667 0.333 0.523 Eu
0.000 0.000 0.500 Pu
0.333 0.667 0.167 Pu
0.667 0.333 0.833 Pu
0.000 0.000 0.000 H
0.333 0.667 0.667 H
0.667 0.333 0.333 H
```

=====

ZrGa2C (GGA-PBE, relaxed); energy relative to the elements = 0.2314 eV per atom
1.0
7.064 0.000 0.000
0.000 7.064 0.000
0.000 0.000 4.857
Zr Ga C
4 8 4
Direct
0.000 0.000 0.000 Zr
0.000 0.500 0.250 Zr
0.500 0.000 0.750 Zr
0.500 0.500 0.500 Zr
0.167 0.750 0.625 Ga
0.250 0.167 0.375 Ga
0.250 0.333 0.875 Ga
0.333 0.750 0.125 Ga
0.667 0.250 0.125 Ga
0.750 0.667 0.875 Ga
0.750 0.833 0.375 Ga
0.833 0.250 0.625 Ga
0.000 0.000 0.500 C
0.000 0.500 0.750 C
0.500 0.000 0.250 C
0.500 0.500 0.000 C

=====

VPt2Rh2 (GGA-PBE, relaxed); E above lowest polymorph = 0.000 eV per atom; energy relative to the elements = -0.0808 eV per atom
1.0
6.073 -2.369 0.000
6.073 2.369 0.000
-3.163 0.000 5.554
V Pt Rh
2 4 4
Direct
0.141 0.859 0.750 V
0.859 0.141 0.250 V
0.019 0.334 0.122 Pt
0.334 0.019 0.622 Pt
0.666 0.981 0.378 Pt
0.981 0.666 0.878 Pt
0.256 0.591 0.341 Rh
0.409 0.744 0.159 Rh
0.591 0.256 0.841 Rh
0.744 0.409 0.659 Rh

=====

YPuTe (GGA-PBE, relaxed); E above lowest polymorph = 0.000 eV per atom; ΔE_f (raw) = -593 meV per atom
1.0
17.547 0.000 0.000
0.000 3.840 0.000
0.000 0.000 4.457
Y Pu Te
4 4 4
Direct
0.184 0.250 0.197 Y
0.316 0.750 0.697 Y
0.684 0.250 0.303 Y
0.816 0.750 0.803 Y
0.005 0.750 0.159 Pu
0.495 0.250 0.659 Pu
0.505 0.750 0.341 Pu
0.995 0.250 0.841 Pu
0.136 0.750 0.693 Te
0.364 0.250 0.193 Te
0.636 0.750 0.807 Te
0.864 0.250 0.307 Te

=====

Here is a geometry-optimized Dy5HPb2 structure from Alexandria via LeMat-Bulk. Energies are from GGA-PBE.

Geometry as POSCAR:
```
Dy5HPb2
1.0
6.953 0.000 0.000
0.000 6.953 0.000
0.000 0.000 8.994
Dy H Pb
10 2 4
Direct
0.000 0.000 0.000 Dy
0.250 0.250 0.245 Dy
0.250 0.250 0.745 Dy
0.250 0.750 0.245 Dy
0.250 0.750 0.745 Dy
0.500 0.500 0.500 Dy
0.750 0.250 0.245 Dy
0.750 0.250 0.745 Dy
0.750 0.750 0.245 Dy
0.750 0.750 0.745 Dy
0.000 0.000 0.248 H
0.500 0.500 0.748 H
0.000 0.500 0.496 Pb
0.000 0.500 0.996 Pb
0.500 0.000 0.496 Pb
0.500 0.000 0.996 Pb
```

=====

KBa2Sr (GGA-PBE, relaxed); E above lowest polymorph = 0.051 eV per atom; energy relative to the elements = 0.0962 eV per atom
1.0
6.221 0.000 0.000
0.000 6.221 0.000
0.000 0.000 13.137
K Ba Sr
2 4 2
Direct
0.000 0.000 0.000 K
0.500 0.500 0.500 K
0.000 0.000 0.500 Ba
0.000 0.500 0.250 Ba
0.500 0.000 0.750 Ba
0.500 0.500 0.000 Ba
0.000 0.500 0.750 Sr
0.500 0.000 0.250 Sr

=====

La3Pm3Ge4 (GGA-PBE, relaxed); energy relative to the elements = -0.7287 eV per atom
1.0
4.289 0.000 0.000
0.000 5.827 5.527
0.000 -5.827 5.527
La Pm Ge
3 3 4
Direct
0.000 0.000 0.000 La
0.500 0.328 0.830 La
0.500 0.830 0.328 La
0.000 0.162 0.500 Pm
0.000 0.500 0.162 Pm
0.000 0.659 0.659 Pm
0.500 0.216 0.216 Ge
0.500 0.451 0.451 Ge
0.500 0.698 0.956 Ge
0.500 0.956 0.698 Ge

=====

Here is a geometry-optimized CuH10C2N2Cl4 structure from Alexandria via LeMat-Bulk. Energies are from GGA-PBE.

Geometry as POSCAR:
```
CuH10C2N2Cl4
1.0
8.290 0.000 0.000
0.000 7.528 0.000
-0.182 0.000 7.206
Cu H C N Cl
2 20 4 4 8
Direct
0.000 0.000 0.000 Cu
0.000 0.500 0.500 Cu
0.183 0.036 0.569 H
0.183 0.464 0.069 H
0.248 0.513 0.854 H
0.248 0.987 0.354 H
0.266 0.665 0.022 H
0.266 0.835 0.522 H
0.429 0.190 0.519 H
0.429 0.310 0.019 H
0.447 0.031 0.702 H
0.447 0.469 0.202 H
0.553 0.531 0.798 H
0.553 0.969 0.298 H
0.571 0.690 0.981 H
0.571 0.810 0.481 H
0.734 0.165 0.478 H
0.734 0.335 0.978 H
0.752 0.013 0.646 H
0.752 0.487 0.146 H
0.817 0.536 0.931 H
0.817 0.964 0.431 H
0.433 0.047 0.551 C
0.433 0.453 0.051 C
0.567 0.547 0.949 C
0.567 0.953 0.449 C
0.273 0.529 0.995 N
0.273 0.971 0.495 N
0.727 0.029 0.505 N
0.727 0.471 0.005 N
0.045 0.191 0.758 Cl
0.045 0.309 0.258 Cl
0.277 0.546 0.537 Cl
0.277 0.954 0.037 Cl
0.723 0.046 0.963 Cl
0.723 0.454 0.463 Cl
0.955 0.691 0.742 Cl
0.955 0.809 0.242 Cl
```

=====

ScTa2AgCl (GGA-PBE, relaxed); ΔE_f (raw) = 760 meV per atom
1.0
4.547 0.000 0.000
0.000 4.547 0.000
0.000 0.000 4.938
Sc Ta Ag Cl
1 2 1 1
Direct
0.000 0.000 0.000 Sc
0.000 0.500 0.500 Ta
0.500 0.000 0.500 Ta
0.500 0.500 0.000 Ag
0.500 0.500 0.500 Cl

=====

La4AgRh2 (GGA-PBE, relaxed); E above lowest polymorph = 0.069 eV per atom; energy relative to the elements = -0.4710 eV per atom
1.0
-4.739 4.741 4.776
4.739 -4.741 4.776
4.739 4.741 -4.776
La Ag Rh
8 2 4
Direct
0.214 0.276 0.561 La
0.214 0.653 0.939 La
0.276 0.215 0.062 La
0.347 0.785 0.562 La
0.653 0.215 0.438 La
0.724 0.785 0.938 La
0.786 0.347 0.061 La
0.786 0.724 0.439 La
0.124 0.874 0.250 Ag
0.876 0.126 0.750 Ag
0.000 0.500 0.500 Rh
0.500 0.000 0.000 Rh
0.500 0.500 0.000 Rh
0.500 0.500 0.500 Rh

=====

CaSi3Pb2Au12 (GGA-PBE, relaxed); ΔE_f (raw) = -37 meV per atom
1.0
4.557 2.631 5.604
-4.557 2.631 5.604
0.000 -5.262 5.604
Ca Si Pb Au
1 3 2 12
Direct
0.000 0.000 0.000 Ca
0.000 0.000 0.500 Si
0.000 0.500 0.000 Si
0.500 0.000 0.000 Si
0.406 0.406 0.406 Pb
0.594 0.594 0.594 Pb
0.147 0.703 0.703 Au
0.161 0.161 0.607 Au
0.161 0.607 0.161 Au
0.297 0.297 0.853 Au
0.297 0.853 0.297 Au
0.393 0.839 0.839 Au
0.607 0.161 0.161 Au
0.703 0.147 0.703 Au
0.703 0.703 0.147 Au
0.839 0.393 0.839 Au
0.839 0.839 0.393 Au
0.853 0.297 0.297 Au

=====

TbLuIn2 (GGA-PBE, relaxed); energy relative to the elements = -0.4330 eV per atom
1.0
7.474 0.000 0.000
0.000 7.474 0.000
0.000 0.000 7.474
Tb Lu In
4 4 8
Direct
0.000 0.000 0.000 Tb
0.000 0.500 0.500 Tb
0.500 0.000 0.500 Tb
0.500 0.500 0.000 Tb
0.000 0.000 0.500 Lu
0.000 0.500 0.000 Lu
0.500 0.000 0.000 Lu
0.500 0.500 0.500 Lu
0.250 0.250 0.250 In
0.250 0.250 0.750 In
0.250 0.750 0.250 In
0.250 0.750 0.750 In
0.750 0.250 0.250 In
0.750 0.250 0.750 In
0.750 0.750 0.250 In
0.750 0.750 0.750 In

=====

BaLiMg2 (GGA-PBE, relaxed); E above lowest polymorph = 0.049 eV per atom; energy relative to the elements = 0.0035 eV per atom
1.0
3.777 0.000 0.000
0.000 3.777 0.000
0.000 0.000 8.539
Ba Li Mg
1 1 2
Direct
0.000 0.000 0.000 Ba
0.000 0.000 0.500 Li
0.500 0.500 0.317 Mg
0.500 0.500 0.683 Mg

=====

BaTe2Au (GGA-PBE, relaxed); E above lowest polymorph = 0.000 eV per atom; ΔE_f (raw) = -849 meV per atom
1.0
8.419 0.000 0.000
0.000 8.419 0.000
0.000 0.000 7.688
Ba Te Au
4 8 4
Direct
0.000 0.000 0.000 Ba
0.000 0.500 0.250 Ba
0.500 0.000 0.750 Ba
0.500 0.500 0.500 Ba
0.172 0.250 0.625 Te
0.250 0.672 0.875 Te
0.250 0.828 0.375 Te
0.328 0.250 0.125 Te
0.672 0.750 0.125 Te
0.750 0.172 0.375 Te
0.750 0.328 0.875 Te
0.828 0.750 0.625 Te
0.000 0.000 0.500 Au
0.000 0.500 0.750 Au
0.500 0.000 0.250 Au
0.500 0.500 0.000 Au

=====

MgNiGe (GGA-PBE, relaxed); energy relative to the elements = -0.2180 eV per atom
1.0
3.168 0.000 0.000
0.000 3.168 0.000
0.000 0.000 9.194
Mg Ni Ge
2 2 2
Direct
0.000 0.000 0.000 Mg
0.500 0.500 0.500 Mg
0.000 0.000 0.687 Ni
0.500 0.500 0.187 Ni
0.000 0.000 0.301 Ge
0.500 0.500 0.801 Ge

=====

Na3LiCd8 (GGA-PBE, relaxed); energy relative to the elements = -0.1189 eV per atom
1.0
2.950 1.703 9.843
-2.950 1.703 9.843
0.000 -3.406 9.843
Na Li Cd
3 1 8
Direct
0.000 0.000 0.000 Na
0.126 0.126 0.126 Na
0.624 0.624 0.624 Na
0.500 0.500 0.500 Li
0.062 0.062 0.561 Cd
0.062 0.561 0.062 Cd
0.065 0.563 0.563 Cd
0.313 0.313 0.313 Cd
0.561 0.062 0.062 Cd
0.563 0.065 0.563 Cd
0.563 0.563 0.065 Cd
0.813 0.813 0.813 Cd

=====

Tb2CeBi (GGA-PBE, relaxed); E above lowest polymorph = 0.214 eV per atom; energy relative to the elements = -0.1340 eV per atom
1.0
3.606 0.000 0.000
-1.803 3.123 0.000
0.000 0.000 32.988
Tb Ce Bi
6 3 3
Direct
0.000 0.000 0.000 Tb
0.000 0.000 0.174 Tb
0.333 0.667 0.667 Tb
0.333 0.667 0.841 Tb
0.667 0.333 0.333 Tb
0.667 0.333 0.508 Tb
0.000 0.000 0.420 Ce
0.333 0.667 0.087 Ce
0.667 0.333 0.753 Ce
0.000 0.000 0.587 Bi
0.333 0.667 0.254 Bi
0.667 0.333 0.920 Bi

=====

SrBeCd2 (GGA-PBE, relaxed); energy relative to the elements = 0.0366 eV per atom
1.0
4.545 0.000 0.000
-2.272 3.936 0.000
0.000 0.000 17.000
Sr Be Cd
3 3 6
Direct
0.000 0.000 0.000 Sr
0.333 0.667 0.667 Sr
0.667 0.333 0.333 Sr
0.000 0.000 0.192 Be
0.333 0.667 0.859 Be
0.667 0.333 0.526 Be
0.000 0.000 0.533 Cd
0.000 0.000 0.799 Cd
0.333 0.667 0.200 Cd
0.333 0.667 0.466 Cd
0.667 0.333 0.133 Cd
0.667 0.333 0.867 Cd

=====

CrPbS2 (GGA-PBE, relaxed); ΔE_f (raw) = -32 meV per atom
1.0
4.325 0.000 0.000
-2.163 3.746 0.000
0.000 0.000 22.620
Cr Pb S
3 3 6
Direct
0.000 0.000 0.000 Cr
0.333 0.667 0.667 Cr
0.667 0.333 0.333 Cr
0.000 0.000 0.500 Pb
0.333 0.667 0.167 Pb
0.667 0.333 0.833 Pb
0.000 0.000 0.099 S
0.000 0.000 0.901 S
0.333 0.667 0.568 S
0.333 0.667 0.765 S
0.667 0.333 0.235 S
0.667 0.333 0.432 S

=====

Zr4TlRh (GGA-PBE, relaxed); E above lowest polymorph = 0.000 eV per atom; energy relative to the elements = -0.2799 eV per atom
1.0
10.923 0.000 0.000
0.000 3.383 0.000
-2.356 0.000 6.972
Zr Tl Rh
8 2 2
Direct
0.147 0.000 0.354 Zr
0.170 0.000 0.815 Zr
0.330 0.500 0.185 Zr
0.353 0.500 0.646 Zr
0.647 0.500 0.354 Zr
0.670 0.500 0.815 Zr
0.830 0.000 0.185 Zr
0.853 0.000 0.646 Zr
0.000 0.500 0.000 Tl
0.500 0.000 0.000 Tl
0.000 0.500 0.500 Rh
0.500 0.000 0.500 Rh

=====

Listing uncorrected energy for the structures above in their given order: -9.04 -5.73 -7.26 -8.57 -4.48 -1.56 -5.48 -4.68 -6.19 -5.79 -3.65 -4.09 -1.75 -3.72 -4.22 -1.22 -4.90 -1.77 -5.43 -7.60 eV per atom.